10
Lattice="6.093 0.000 0.000 1.829 5.977 0.000 0.022 2.438 5.920" Properties=species:S:1:pos:R:3 comment="Al3TeS6, optimized geometry, DFT PBE-GGA" spacegroup="P-1, No. 2" crystal_system=triclinic total_energy_ev_per_cell=-44.51 raw_formation_energy_kj_per_mol_atoms=-52 pbc="T T T"
Al 0.000 0.000 0.000
Al 0.915 2.989 0.000
Al 3.047 0.000 0.000
Te 3.972 4.208 2.960
S 1.791 3.576 4.286
S 1.458 1.215 1.455
S 3.094 4.116 0.391
S 4.851 4.300 5.528
S 6.487 7.201 4.464
S 6.153 4.840 1.634

4
Lattice="1.781 1.028 7.934 -1.781 1.028 7.934 0.000 -2.056 7.934" Properties=species:S:1:pos:R:3 comment="AlTeS2, optimized geometry, DFT PBE-GGA" spacegroup="R-3m, No. 166" crystal_system=trigonal total_energy_ev_per_cell=-17.50 raw_formation_energy_kj_per_mol_atoms=-57 relative_energy_ev_per_atom=0.000 pbc="T T T"
Al 0.000 0.000 0.000
Te 0.000 0.000 11.901
S 0.000 0.000 9.226
S 0.000 0.000 14.575